Computed, not measured: a PBEsol-optimized structure of FeP at the SCAN level of DFT.

Cell: 4.120 4.120 4.221 Å, 90.00 90.00 140.94°
Fractional coordinates of all 4 atoms:
Fe 0.203 0.797 0.750
Fe 0.797 0.203 0.250
P 0.084 0.916 0.250
P 0.916 0.084 0.750

Values from the calculation:
Density: 6.4 g cm⁻³
ΔE_f: -0.266 eV per atom
Crystal system: orthorhombic
Electronic total energy: -58.12 eV for the cell shown

---

Computed, not measured: a PBEsol-optimized structure of FeP4 at the SCAN level of DFT.

Cell: 4.555 4.549 6.761 Å, 90.00 99.61 90.00°
Fractional coordinates of all 10 atoms:
Fe 0.000 0.000 0.000
Fe 0.000 0.500 0.500
P 0.201 0.192 0.748
P 0.201 0.308 0.248
P 0.371 0.663 0.085
P 0.371 0.837 0.585
P 0.629 0.163 0.415
P 0.629 0.337 0.915
P 0.799 0.692 0.752
P 0.799 0.808 0.252

Values from the calculation:
Density: 4.3 g cm⁻³
ΔE_f: -0.334 eV per atom
Crystal system: monoclinic
Electronic total energy: -122.79 eV for the cell shown

---

Computed, not measured: a PBEsol-optimized structure of FeP4 at the SCAN level of DFT.

Cell: 5.724 5.724 10.974 Å, 90.41 90.41 128.11°
Fractional coordinates of all 20 atoms:
Fe 0.000 0.500 0.500
Fe 0.075 0.925 0.750
Fe 0.500 0.000 0.000
Fe 0.925 0.075 0.250
P 0.056 0.869 0.950
P 0.067 0.528 0.294
P 0.131 0.944 0.550
P 0.225 0.370 0.784
P 0.337 0.545 0.976
P 0.370 0.225 0.284
P 0.455 0.663 0.524
P 0.472 0.933 0.206
P 0.528 0.067 0.794
P 0.545 0.337 0.476
P 0.630 0.775 0.716
P 0.663 0.455 0.024
P 0.775 0.630 0.216
P 0.869 0.056 0.450
P 0.933 0.472 0.706
P 0.944 0.131 0.050

Values from the calculation:
Density: 4.2 g cm⁻³
ΔE_f: -0.403 eV per atom
Crystal system: monoclinic
Electronic total energy: -246.97 eV for the cell shown

---

Computed, not measured: a PBEsol-optimized structure of FeP3 at the SCAN level of DFT.

Cell: 9.336 9.336 9.336 Å, 158.77 158.77 30.21°
Fractional coordinates of all 8 atoms:
Fe 0.176 0.176 0.000
Fe 0.824 0.824 0.000
P 0.000 0.500 0.500
P 0.250 0.750 0.500
P 0.395 0.395 0.000
P 0.500 0.000 0.500
P 0.605 0.605 0.000
P 0.750 0.250 0.500

Values from the calculation:
Density: 4.6 g cm⁻³
ΔE_f: 0.417 eV per atom
Crystal system: tetragonal
Electronic total energy: -95.32 eV for the cell shown

---

Computed, not measured: a PBEsol-optimized structure of FeP3 at the SCAN level of DFT.

Cell: 4.675 4.675 4.675 Å, 90.00 90.00 90.00°
Fractional coordinates of all 8 atoms:
Fe 0.000 0.000 0.000
Fe 0.500 0.500 0.500
P 0.000 0.250 0.500
P 0.000 0.750 0.500
P 0.250 0.500 0.000
P 0.500 0.000 0.250
P 0.500 0.000 0.750
P 0.750 0.500 0.000

Values from the calculation:
Density: 4.8 g cm⁻³
ΔE_f: 0.624 eV per atom
Crystal system: cubic
Electronic total energy: -93.66 eV for the cell shown

---

Computed, not measured: a PBEsol-optimized structure of FeP at the SCAN level of DFT.

Cell: 5.092 2.999 5.699 Å, 90.00 90.00 90.00°
Fractional coordinates of all 8 atoms:
Fe 0.002 0.250 0.201
Fe 0.498 0.750 0.701
Fe 0.502 0.250 0.299
Fe 0.998 0.750 0.799
P 0.190 0.250 0.567
P 0.310 0.750 0.067
P 0.690 0.250 0.933
P 0.810 0.750 0.433

Values from the calculation:
Density: 6.6 g cm⁻³
ΔE_f: -0.518 eV per atom
Crystal system: orthorhombic
Electronic total energy: -118.26 eV for the cell shown

---

Computed, not measured: a PBEsol-optimized structure of FeP4 at the SCAN level of DFT.

Cell: 5.628 5.628 5.467 Å, 90.00 90.00 127.67°
Fractional coordinates of all 10 atoms:
Fe 0.175 0.825 0.750
Fe 0.825 0.175 0.250
P 0.003 0.636 0.130
P 0.268 0.306 0.199
P 0.306 0.268 0.801
P 0.364 0.997 0.370
P 0.636 0.003 0.870
P 0.694 0.732 0.301
P 0.732 0.694 0.699
P 0.997 0.364 0.630

Values from the calculation:
Density: 4.4 g cm⁻³
ΔE_f: -0.371 eV per atom
Crystal system: orthorhombic
Electronic total energy: -123.16 eV for the cell shown

---

Computed, not measured: a PBEsol-optimized structure of FePPb2 at the SCAN level of DFT.

Cell: 4.271 3.891 5.424 Å, 90.00 113.24 90.00°
Fractional coordinates of all 4 atoms:
Fe 0.000 0.000 0.000
P 0.107 0.500 0.211
Pb 0.403 0.500 0.803
Pb 0.702 0.000 0.402

Values from the calculation:
Density: 10.1 g cm⁻³
ΔE_f: 0.229 eV per atom
Crystal system: monoclinic
Electronic total energy: -179.17 eV for the cell shown

---

Computed, not measured: a PBEsol-optimized structure of FePPb2 at the SCAN level of DFT.

Cell: 3.568 3.568 6.406 Å, 90.00 90.00 90.00°
Fractional coordinates of all 4 atoms:
Fe 0.000 0.000 0.000
P 0.000 0.000 0.500
Pb 0.500 0.500 0.244
Pb 0.500 0.500 0.756

Values from the calculation:
Density: 10.2 g cm⁻³
ΔE_f: 0.674 eV per atom
Crystal system: tetragonal
Electronic total energy: -177.40 eV for the cell shown

---

Computed, not measured: a PBEsol-optimized structure of FePPb2 at the SCAN level of DFT.

Cell: 5.322 5.322 5.322 Å, 130.71 130.71 72.27°
Fractional coordinates of all 4 atoms:
Fe 0.000 0.000 0.000
P 0.500 0.500 0.000
Pb 0.250 0.750 0.500
Pb 0.750 0.250 0.500

Values from the calculation:
Density: 9.8 g cm⁻³
ΔE_f: 0.714 eV per atom
Crystal system: tetragonal
Electronic total energy: -177.24 eV for the cell shown

---

Computed, not measured: a PBEsol-optimized structure of TlFe2PPb at the SCAN level of DFT.

Cell: 4.872 4.872 5.061 Å, 90.00 90.00 90.00°
Fractional coordinates of all 5 atoms:
Tl 0.000 0.000 0.000
Fe 0.000 0.500 0.000
Fe 0.500 0.000 0.000
P 0.000 0.000 0.500
Pb 0.500 0.500 0.500

Values from the calculation:
Density: 7.7 g cm⁻³
ΔE_f: 1.317 eV per atom
Crystal system: tetragonal
Electronic total energy: -188.21 eV for the cell shown

---

Computed, not measured: a PBEsol-optimized structure of FePPd2Rh at the SCAN level of DFT.

Cell: 4.380 4.380 4.277 Å, 90.00 90.00 90.00°
Fractional coordinates of all 5 atoms:
Fe 0.000 0.000 0.000
P 0.500 0.500 0.500
Pd 0.000 0.500 0.500
Pd 0.500 0.000 0.500
Rh 0.500 0.500 0.000

Values from the calculation:
Density: 8.1 g cm⁻³
ΔE_f: 0.149 eV per atom
Crystal system: tetragonal
Electronic total energy: -127.11 eV for the cell shown